PaFeSiO6 | PBE+U | relaxed

Values from the calculation:
V = 98.0 Å³/cell
density = 6.96 g cm⁻³
total moment = 1.0 μB/f.u.
electronic total energy = -8.088 eV/atom

a = 4.728 Å, b = 4.892 Å, c = 4.892 Å
α = 120.00°, β = 90.00°, γ = 90.00°
Fractional positions:
Pa 0.000 0.333 0.667
Fe 0.500 0.667 0.333
Si 0.500 0.000 0.000
O 0.715 0.702 0.689
O 0.715 0.311 0.014
O 0.715 0.986 0.298
O 0.285 0.311 0.298
O 0.285 0.702 0.014
O 0.285 0.986 0.689